# PBEsol NaMg2ZnB, optimized geometry
# Total magnetization   0.00 Bohr magnetons per cell
# E_form   1139 meV per atom
# VASP energy   -1.547 eV/atom
# N(E_F)   0.497 states/eV per atom
data_NaMg2ZnB
_chemical_formula_sum 'Na1 Mg2 Zn1 B1'
_space_group_name_H-M_alt 'P 4/m m m'
_space_group_IT_number 123
_space_group_name_Hall '-P 4 2'
_cell_length_a 4.923
_cell_length_b 4.923
_cell_length_c 5.122
_cell_angle_alpha 90.00
_cell_angle_beta 90.00
_cell_angle_gamma 90.00
loop_
_atom_site_label
_atom_site_type_symbol
_atom_site_fract_x
_atom_site_fract_y
_atom_site_fract_z
Na1 Na 0.000 0.000 0.000
Mg1 Mg 0.000 0.500 0.500
Zn1 Zn 0.000 0.000 0.500
B1 B 0.500 0.500 0.000